No. 1
Computed, not measured: crystalline AgPdRh2N at its relaxed geometry at the PBE level of DFT.

Cell: 4.025 4.025 4.353 Å, 90.00 90.00 90.00°
Space group P4/mmm (No. 123)
One atom of each set of equivalent atoms:
Ag  0.000  0.000  0.000 (multiplicity 1)
Pd  0.500  0.500  0.000 (multiplicity 1)
Rh  0.000  0.500  0.500 (multiplicity 2)
N  0.500  0.500  0.500 (multiplicity 1)

Summary:
- E_tot: -30.071 eV per cell
- Energy relative to the elements, uncorrected: 200 meV per atom

---

No. 2
Computed, not measured: crystalline AgPd2RhN at its relaxed geometry at the PBE level of DFT.

Cell: 4.294 4.294 3.905 Å, 90.00 90.00 90.00°
Space group P4/mmm (No. 123)
One atom of each set of equivalent atoms:
Ag  0.000  0.000  0.000 (multiplicity 1)
Pd  0.000  0.500  0.500 (multiplicity 2)
Rh  0.500  0.500  0.000 (multiplicity 1)
N  0.500  0.500  0.500 (multiplicity 1)

Summary:
- E_tot: -28.117 eV per cell
- Energy relative to the elements, uncorrected: 159 meV per atom

---

No. 3
Computed, not measured: crystalline Ag2PdRuN at its relaxed geometry at the PBE level of DFT.

Cell: 5.167 5.167 3.618 Å, 90.00 90.00 90.00°
Space group P4/mmm (No. 123)
One atom of each set of equivalent atoms:
Ag  0.000  0.500  0.000 (multiplicity 2)
Pd  0.000  0.000  0.500 (multiplicity 1)
Ru  0.500  0.500  0.000 (multiplicity 1)
N  0.500  0.500  0.500 (multiplicity 1)

Summary:
- E_tot: -24.115 eV per cell
- Energy relative to the elements, uncorrected: 876 meV per atom

---

No. 4
Computed, not measured: crystalline AgPd2RuN at its relaxed geometry at the PBE level of DFT.

Cell: 4.302 4.302 3.875 Å, 90.00 90.00 90.00°
Space group P4/mmm (No. 123)
One atom of each set of equivalent atoms:
Ag  0.000  0.000  0.000 (multiplicity 1)
Pd  0.000  0.500  0.500 (multiplicity 2)
Ru  0.500  0.500  0.000 (multiplicity 1)
N  0.500  0.500  0.500 (multiplicity 1)

Summary:
- E_tot: -29.632 eV per cell
- Energy relative to the elements, uncorrected: 241 meV per atom

---

No. 5
Computed, not measured: crystalline AgPdSeN2 at its relaxed geometry at the PBE level of DFT.

Cell: 3.986 3.986 5.800 Å, 90.00 90.00 90.00°
Space group P4/mmm (No. 123)
One atom of each set of equivalent atoms:
Ag  0.000  0.000  0.000 (multiplicity 1)
Pd  0.500  0.500  0.500 (multiplicity 1)
Se  0.000  0.000  0.500 (multiplicity 1)
N  0.000  0.500  0.000 (multiplicity 2)

Summary:
- E_tot: -19.033 eV per cell
- Energy relative to the elements, uncorrected: 1829 meV per atom
- Relative energy among the computed polymorphs: 425.8 meV per atom

---

No. 6
Computed, not measured: crystalline Ag2PdSeN at its relaxed geometry at the PBE level of DFT.

Cell: 5.043 5.043 4.758 Å, 90.00 90.00 90.00°
Space group P4/mmm (No. 123)
One atom of each set of equivalent atoms:
Ag  0.000  0.500  0.000 (multiplicity 2)
Pd  0.000  0.000  0.500 (multiplicity 1)
Se  0.000  0.000  0.000 (multiplicity 1)
N  0.500  0.500  0.500 (multiplicity 1)

Summary:
- E_tot: -16.739 eV per cell
- Energy relative to the elements, uncorrected: 1193 meV per atom

---

No. 7
Computed, not measured: crystalline AgPdSe2N at its relaxed geometry at the PBE level of DFT.

Cell: 5.239 5.239 3.675 Å, 90.00 90.00 90.00°
Space group P4/mmm (No. 123)
One atom of each set of equivalent atoms:
Ag  0.000  0.000  0.000 (multiplicity 1)
Pd  0.500  0.500  0.500 (multiplicity 1)
Se  0.000  0.500  0.500 (multiplicity 2)
N  0.500  0.500  0.000 (multiplicity 1)

Summary:
- E_tot: -19.496 eV per cell
- Energy relative to the elements, uncorrected: 768 meV per atom
- Relative energy among the computed polymorphs: 0.0 meV per atom

---

No. 8
Computed, not measured: crystalline AgPdSe2N at its relaxed geometry at the PBE level of DFT.

Cell: 5.153 5.153 3.912 Å, 90.00 90.00 90.00°
Space group P4/mmm (No. 123)
One atom of each set of equivalent atoms:
Ag  0.000  0.000  0.000 (multiplicity 1)
Pd  0.500  0.500  0.500 (multiplicity 1)
Se  0.000  0.500  0.000 (multiplicity 2)
N  0.000  0.000  0.500 (multiplicity 1)

Summary:
- E_tot: -16.916 eV per cell
- Energy relative to the elements, uncorrected: 1285 meV per atom
- Relative energy among the computed polymorphs: 516.2 meV per atom

---

What did the fifth record say?
Computed, not measured: crystalline AgPdSeN2 at its relaxed geometry at the PBE level of DFT.

Cell: 3.986 3.986 5.800 Å, 90.00 90.00 90.00°
Space group P4/mmm (No. 123)
One atom of each set of equivalent atoms:
Ag  0.000  0.000  0.000 (multiplicity 1)
Pd  0.500  0.500  0.500 (multiplicity 1)
Se  0.000  0.000  0.500 (multiplicity 1)
N  0.000  0.500  0.000 (multiplicity 2)

Summary:
- E_tot: -19.033 eV per cell
- Energy relative to the elements, uncorrected: 1829 meV per atom
- Relative energy among the computed polymorphs: 425.8 meV per atom